# 1
# TcRhAu2

A geometry-optimized TcRhAu2 structure (PBE-GGA, Alexandria via LeMat-Bulk).

Structure (extended XYZ):
```
8
Lattice="-2.753 -6.834 -0.110 6.572 -2.679 1.980 1.235 -4.526 3.487" Properties=species:S:1:pos:R:3 pbc="T T T"
Au -0.587 -5.729 1.051
Au 2.367 -6.965 3.319
Au 4.260 -11.715 4.249
Au 4.069 -3.669 2.095
Tc 1.910 -4.757 0.935
Tc 4.859 -5.981 3.201
Rh 0.000 0.000 0.000
Rh 0.196 -8.058 2.156
```

- Size of the total moment: 4.40 μB/cell
- Formation energy: 0.79 eV per atom
- Space-group type: I-42d (122)
- Excess energy over the best structure of this formula in the dataset: 725 meV/atom

---

# 2
# TcRhAu2

A geometry-optimized TcRhAu2 structure (PBE-GGA, Alexandria via LeMat-Bulk).

Structure (extended XYZ):
```
4
Lattice="-3.554 3.378 -0.038 -4.330 1.416 1.816 1.600 2.843 3.679" Properties=species:S:1:pos:R:3 pbc="T T T"
Au 1.580 2.849 3.678
Au -3.122 3.812 2.730
Rh -1.571 1.909 1.364
Tc -4.713 5.728 4.093
```

- Size of the total moment: 0.00 μB/cell
- Formation energy: 0.30 eV per atom
- Space-group type: C2/m (12)
- Excess energy over the best structure of this formula in the dataset: 238 meV/atom

---

# 3
# TcRh2Au

A geometry-optimized TcRh2Au structure (PBE-GGA, Alexandria via LeMat-Bulk).

Structure (extended XYZ):
```
4
Lattice="4.799 0.004 0.002 1.602 4.524 -0.002 -3.201 -2.263 2.768" Properties=species:S:1:pos:R:3 pbc="T T T"
Tc 2.399 0.002 1.385
Rh 6.401 4.528 0.000
Rh 3.201 2.264 0.000
Au 0.801 2.262 1.383
```

- Size of the total moment: 0.01 μB/cell
- Formation energy: 0.12 eV per atom
- Space-group type: I4/mmm (139)
- Excess energy over the best structure of this formula in the dataset: 155 meV/atom

---

# 4
# Tc2RhAu

A geometry-optimized Tc2RhAu structure (PBE-GGA, Alexandria via LeMat-Bulk).

Structure (extended XYZ):
```
4
Lattice="4.784 0.010 0.000 1.525 4.535 0.000 -3.155 -2.273 2.788" Properties=species:S:1:pos:R:3 pbc="T T T"
Rh 2.392 0.005 1.394
Tc 0.000 0.000 0.000
Tc 0.763 2.267 1.394
Au 3.155 2.273 0.000
```

- Size of the total moment: 0.00 μB/cell
- Formation energy: 0.20 eV per atom
- Space-group type: I-4m2 (119)
- Excess energy over the best structure of this formula in the dataset: 120 meV/atom

---

# 5
# TcRh2Au

A geometry-optimized TcRh2Au structure (PBE-GGA, Alexandria via LeMat-Bulk).

Structure (extended XYZ):
```
4
Lattice="-3.889 2.793 -0.054 -4.497 0.623 1.521 0.897 2.634 3.976" Properties=species:S:1:pos:R:3 pbc="T T T"
Rh -3.698 3.052 2.777
Rh 0.851 2.607 3.921
Tc -5.617 4.537 4.082
Au -1.872 1.512 1.361
```

- Size of the total moment: 0.00 μB/cell
- Formation energy: 0.11 eV per atom
- Space-group type: C2/m (12)
- Excess energy over the best structure of this formula in the dataset: 149 meV/atom

---

# 6
# TcRhAu2

A geometry-optimized TcRhAu2 structure (PBE-GGA, Alexandria via LeMat-Bulk).

Structure (extended XYZ):
```
4
Lattice="-2.203 1.702 0.375 -1.565 -2.198 0.785 2.243 1.187 7.798" Properties=species:S:1:pos:R:3 pbc="T T T"
Rh 1.174 0.621 4.081
Au -1.299 0.062 2.615
Au 2.212 1.170 7.688
Tc -0.247 0.618 6.270
```

- Size of the total moment: 0.00 μB/cell
- Formation energy: 0.07 eV per atom
- Space-group type: P4mm (99)
- Excess energy over the best structure of this formula in the dataset: 0 meV/atom

---

# 7
# Tc2RhAu

A geometry-optimized Tc2RhAu structure (PBE-GGA, Alexandria via LeMat-Bulk).

Structure (extended XYZ):
```
4
Lattice="-5.723 -6.533 -3.338 -5.776 -7.266 -0.657 -7.490 -5.287 -1.591" Properties=species:S:1:pos:R:3 pbc="T T T"
Tc -18.971 -19.068 -5.580
Tc -4.864 -4.889 -1.431
Au -9.492 -9.541 -2.792
Rh -14.145 -14.218 -4.161
```

- Size of the total moment: 0.00 μB/cell
- Formation energy: 0.08 eV per atom
- Space-group type: R3m (160)
- Excess energy over the best structure of this formula in the dataset: 0 meV/atom

---

# 8
# TcRhAu4

A geometry-optimized TcRhAu4 structure (PBE-GGA, Alexandria via LeMat-Bulk).

Structure (extended XYZ):
```
6
Lattice="0.000 3.806 3.806 3.806 0.000 3.806 3.806 3.806 0.000" Properties=species:S:1:pos:R:3 pbc="T T T"
Au 2.855 4.757 4.757
Au 4.757 2.855 4.757
Au 2.855 2.855 2.855
Au 4.757 4.757 2.855
Tc 0.000 0.000 0.000
Rh 5.709 5.709 5.709
```

- Size of the total moment: 3.65 μB/cell
- Formation energy: 0.62 eV per atom
- Space-group type: F-43m (216)

---

# 9
# TcRh2Au

A geometry-optimized TcRh2Au structure (PBE-GGA, Alexandria via LeMat-Bulk).

Structure (extended XYZ):
```
4
Lattice="0.000 3.143 3.143 3.143 0.000 3.143 3.143 3.143 0.000" Properties=species:S:1:pos:R:3 pbc="T T T"
Tc 0.000 0.000 0.000
Rh 4.715 4.715 4.715
Rh 1.572 1.572 1.572
Au 3.143 3.143 3.143
```

- Size of the total moment: 2.09 μB/cell
- Formation energy: 0.33 eV per atom
- Space-group type: Fm-3m (225)
- Excess energy over the best structure of this formula in the dataset: 365 meV/atom

---

# 10
# TcRhAu2

A geometry-optimized TcRhAu2 structure (PBE-GGA, Alexandria via LeMat-Bulk).

Structure (extended XYZ):
```
4
Lattice="-2.183 1.729 0.028 -1.248 -1.632 3.534 3.040 3.793 2.824" Properties=species:S:1:pos:R:3 pbc="T T T"
Tc 0.565 2.893 3.899
Au 3.036 3.788 2.820
Au 1.525 1.902 1.416
Rh -0.955 0.997 2.487
```

- Size of the total moment: 0.00 μB/cell
- Formation energy: 0.34 eV per atom
- Space-group type: Pmmm (47)
- Excess energy over the best structure of this formula in the dataset: 273 meV/atom

---

# 11
# TcRhAu2

A geometry-optimized TcRhAu2 structure (PBE-GGA, Alexandria via LeMat-Bulk).

Structure (extended XYZ):
```
4
Lattice="4.485 -0.228 -0.331 2.380 -2.197 3.128 1.987 -3.911 -1.018" Properties=species:S:1:pos:R:3 pbc="T T T"
Tc 0.000 0.000 0.000
Au 6.638 -4.752 1.335
Au 2.213 -1.584 0.445
Rh 4.426 -3.168 0.890
```

- Size of the total moment: 0.00 μB/cell
- Formation energy: 0.43 eV per atom
- Space-group type: Fm-3m (225)
- Excess energy over the best structure of this formula in the dataset: 364 meV/atom

---

# 12
# VTcRhAu2

A geometry-optimized VTcRhAu2 structure (PBE-GGA, Alexandria via LeMat-Bulk).

Structure (extended XYZ):
```
5
Lattice="-3.055 -3.864 0.838 0.158 -1.079 -4.398 3.950 -2.936 0.863" Properties=species:S:1:pos:R:3 pbc="T T T"
Tc 0.000 0.000 0.000
V 0.527 -3.939 -1.349
Au -1.527 -1.932 0.419
Au 1.975 -1.468 0.431
Rh 0.079 -0.540 -2.199
```

- Size of the total moment: 0.41 μB/cell
- Formation energy: 1.57 eV per atom
- Space-group type: P4/mmm (123)